# HfNbI2 (PBE, relaxed)
# N(E_F) ... 3.344 states/eV/f.u.
# Energy relative to the lowest polymorph listed for this composition ... 0 meV per atom
# Formation energy without anion corrections ... 0.491 eV/atom
# Space-group type ... Fm-3m
# VASP energy ... -21.2 eV for the cell shown
# Size of the total moment ... 1.98 μB/f.u.
data_HfNbI2
_chemical_formula_sum 'Hf1 Nb1 I2'
_symmetry_space_group_name_H-M 'P 1'
_symmetry_Int_Tables_number 1
_symmetry_space_group_name_Hall 'P 1'
_cell_length_a 4.9925
_cell_length_b 4.9925
_cell_length_c 4.9925
_cell_angle_alpha 60.00
_cell_angle_beta 60.00
_cell_angle_gamma 60.00
loop_
_atom_site_label
_atom_site_fract_x
_atom_site_fract_y
_atom_site_fract_z
Nb1 0.0000 0.0000 0.0000
I1 0.7500 0.7500 0.7500
I2 0.2500 0.2500 0.2500
Hf1 0.5000 0.5000 0.5000

# NiAgMo2 (PBE, relaxed)
# N(E_F) ... 4.699 states/eV/f.u.
# Energy of formation ... 32.63 kJ per mole of atoms
# Energy relative to the lowest polymorph listed for this composition ... 137 meV per atom
# Space-group type ... R3m
# VASP energy ... -28.9 eV for the cell shown
# Size of the total moment ... 0.00 μB/f.u.
data_NiAgMo2
_chemical_formula_sum 'Ni1 Ag1 Mo2'
_symmetry_space_group_name_H-M 'P 1'
_symmetry_Int_Tables_number 1
_symmetry_space_group_name_Hall 'P 1'
_cell_length_a 9.4079
_cell_length_b 9.4079
_cell_length_c 9.4079
_cell_angle_alpha 16.87
_cell_angle_beta 16.87
_cell_angle_gamma 16.87
loop_
_atom_site_label
_atom_site_fract_x
_atom_site_fract_y
_atom_site_fract_z
Ag1 0.2449 0.2449 0.2449
Mo1 0.7561 0.7561 0.7561
Ni1 0.4969 0.4969 0.4969
Mo2 0.0021 0.0021 0.0021

- What is the energy relative to the lowest polymorph listed for this composition in the first record?
  0 meV per atom

- The lowest size of the total moment belongs to which entry?
  NiAgMo2

Copy entry 2 word for word.
# NiAgMo2 (PBE, relaxed)
# N(E_F) ... 4.699 states/eV/f.u.
# Energy of formation ... 32.63 kJ per mole of atoms
# Energy relative to the lowest polymorph listed for this composition ... 137 meV per atom
# Space-group type ... R3m
# VASP energy ... -28.9 eV for the cell shown
# Size of the total moment ... 0.00 μB/f.u.
data_NiAgMo2
_chemical_formula_sum 'Ni1 Ag1 Mo2'
_symmetry_space_group_name_H-M 'P 1'
_symmetry_Int_Tables_number 1
_symmetry_space_group_name_Hall 'P 1'
_cell_length_a 9.4079
_cell_length_b 9.4079
_cell_length_c 9.4079
_cell_angle_alpha 16.87
_cell_angle_beta 16.87
_cell_angle_gamma 16.87
loop_
_atom_site_label
_atom_site_fract_x
_atom_site_fract_y
_atom_site_fract_z
Ag1 0.2449 0.2449 0.2449
Mo1 0.7561 0.7561 0.7561
Ni1 0.4969 0.4969 0.4969
Mo2 0.0021 0.0021 0.0021